# 1
Here is an optimized crystal structure of RbBi2P2 from Alexandria via LeMat-Bulk. Energies are from GGA-PBE.

Lattice parameters (Å, degrees): 8.6004 8.6004 3.8370 90.00 90.00 90.00
Last column: nearest neighbours and their distance in Å.
Fractional positions:
1 P 0.3604 0.8604 0.0000  4 Bi 3.01, 2 Rb 3.32
2 P 0.8604 0.6396 0.0000  4 Bi 3.01, 2 Rb 3.32
3 P 0.6396 0.1396 0.0000  4 Bi 3.01, 2 Rb 3.32
4 P 0.1396 0.3604 0.0000  4 Bi 3.01, 2 Rb 3.32
5 Bi 0.1305 0.6305 0.5000  4 P 3.01, 1 Bi 3.17
6 Bi 0.6305 0.8695 0.5000  4 P 3.01, 1 Bi 3.17
7 Bi 0.8695 0.3695 0.5000  4 P 3.01, 1 Bi 3.17
8 Bi 0.3695 0.1305 0.5000  4 P 3.01, 1 Bi 3.17
9 Rb 0.0000 0.0000 0.0000  4 P 3.32
10 Rb 0.5000 0.5000 0.0000  4 P 3.32

Values from the calculation:
E_tot, eV/atom: -3.719
Formation energy from the elements, meV per atom: 190
Crystal system: tetragonal
Total moment, μB per atom: 0.00
Offset from the most stable computed form, meV per atom: 244.3



# 2
Here is an optimized crystal structure of Cs2TlHgAs from Alexandria via LeMat-Bulk. Energies are from GGA-PBE.

Lattice parameters (Å, degrees): 7.2045 5.5130 7.2045 90.00 90.00 90.00
Last column: nearest neighbours and their distance in Å.
Fractional positions:
1 Cs 0.0000 0.0000 0.5000  2 As 3.60
2 Cs 0.5000 0.0000 0.0000  2 As 3.60
3 As 0.0000 0.0000 0.0000  2 Tl 2.76
4 Tl 0.0000 0.5000 0.0000  2 As 2.76
5 Hg 0.5000 0.5000 0.5000  8 Cs 4.54

Values from the calculation:
E_tot, eV/atom: -1.947
Formation energy from the elements, meV per atom: -142
Crystal system: tetragonal
Total moment, μB per atom: 0.00



# 3
Here is an optimized crystal structure of Zn2Si2Ge from Alexandria via LeMat-Bulk. Energies are from GGA-PBE.

Lattice parameters (Å, degrees): 7.9062 7.9062 2.6566 90.00 90.00 90.00
Last column: nearest neighbours and their distance in Å.
Fractional positions:
1 Ge 0.0000 0.0000 0.0000  2 Ge 2.66, 4 Si 2.96
2 Ge 0.5000 0.5000 0.0000  2 Ge 2.66, 4 Si 2.96
3 Si 0.3377 0.8377 0.0000  6 Zn 2.61-2.72, 2 Si 2.66
4 Si 0.8377 0.6623 0.0000  6 Zn 2.61-2.72, 2 Si 2.66
5 Si 0.6623 0.1623 0.0000  6 Zn 2.61-2.72, 2 Si 2.66
6 Si 0.1623 0.3377 0.0000  6 Zn 2.61-2.72, 2 Si 2.66
7 Zn 0.1365 0.6365 0.5000  6 Si 2.61-2.72, 2 Zn 2.66
8 Zn 0.6365 0.8635 0.5000  6 Si 2.61-2.72, 2 Zn 2.66
9 Zn 0.8635 0.3635 0.5000  6 Si 2.61-2.72, 2 Zn 2.66
10 Zn 0.3635 0.1365 0.5000  6 Si 2.61-2.72, 2 Zn 2.66

Values from the calculation:
E_tot, eV/atom: -3.273
Crystal system: tetragonal
Formation energy from raw total energies, eV per atom: 0.33
Total moment, μB per atom: 0.00
Offset from the most stable computed form, meV per atom: 10.4



# 4
Here is an optimized crystal structure of Ca3H3N from Alexandria via LeMat-Bulk. Energies are from GGA-PBE.

Lattice parameters (Å, degrees): 6.6676 6.6676 6.2931 91.73 91.73 116.06
Last column: nearest neighbours and their distance in Å.
Fractional positions:
1 Ca 0.8936 0.8936 0.2130  2 N 2.22-2.25, 1 H 2.29
2 Ca 0.7982 0.5032 0.7360  1 N 2.13, 1 H 2.27
3 Ca 0.5032 0.7982 0.7360  1 N 2.13, 1 H 2.27
4 Ca 0.2018 0.4968 0.2640  1 N 2.13, 1 H 2.27
5 Ca 0.4968 0.2018 0.2640  1 N 2.13, 1 H 2.27
6 Ca 0.1064 0.1064 0.7870  2 N 2.22-2.25, 1 H 2.29
7 H 0.6175 0.6175 0.3865  1 H 2.25, 1 Ca 2.29
8 H 0.1947 0.8053 0.5000  2 Ca 2.52
9 H 0.8053 0.1947 0.5000  2 Ca 2.52
10 H 0.2614 0.7386 0.0000  2 Ca 2.27
11 H 0.7386 0.2614 0.0000  2 Ca 2.27
12 H 0.3825 0.3825 0.6135  1 H 2.25, 1 Ca 2.29
13 N 0.8010 0.8010 0.8700  4 Ca 2.13-2.25
14 N 0.1990 0.1990 0.1300  4 Ca 2.13-2.25

Values from the calculation:
E_tot, eV/atom: -3.944
Crystal system: monoclinic
Total moment, μB per atom: 0.01
Offset from the most stable computed form, meV per atom: 195.8



# 5
Here is an optimized crystal structure of Si2RhAu from Alexandria via LeMat-Bulk. Energies are from GGA-PBE.

Lattice parameters (Å, degrees): 5.6376 5.6376 6.5364 64.45 64.45 90.00
Last column: nearest neighbours and their distance in Å.
Fractional positions:
1 Rh 0.5000 0.5000 0.0000  4 Si 2.30
2 Rh 0.2500 0.7500 0.5000  4 Si 2.30
3 Si 0.6002 0.1250 0.2500  2 Rh 2.30, 2 Au 2.46
4 Si 0.1498 0.6250 0.2500  2 Rh 2.30, 2 Au 2.46
5 Si 0.3750 0.3998 0.7500  2 Rh 2.30, 2 Au 2.46
6 Si 0.8750 0.8502 0.7500  2 Rh 2.30, 2 Au 2.46
7 Au 0.0000 0.0000 0.0000  4 Si 2.46
8 Au 0.7500 0.2500 0.5000  4 Si 2.46

Values from the calculation:
E_tot, eV/atom: -5.374
Crystal system: tetragonal
Formation energy from raw total energies, eV per atom: -0.01
Total moment, μB per atom: 0.00
Offset from the most stable computed form, meV per atom: 277.7



# 6
Here is an optimized crystal structure of TaInBr2 from Alexandria via LeMat-Bulk. Energies are from GGA-PBE.

Lattice parameters (Å, degrees): 4.5446 4.5446 9.9850 76.85 76.85 90.00
Last column: nearest neighbours and their distance in Å.
Fractional positions:
1 In 0.5000 0.5000 0.0000  4 Br 2.91, 4 Ta 3.21
2 In 0.2500 0.7500 0.5000  4 Br 2.91, 4 Ta 3.21
3 Br 0.6526 0.1250 0.2500  2 Ta 2.81, 2 In 2.91, 2 Br 3.04
4 Br 0.0974 0.6250 0.2500  2 Ta 2.81, 2 In 2.91, 2 Br 3.04
5 Br 0.3750 0.3474 0.7500  2 Ta 2.81, 2 In 2.91, 2 Br 3.04
6 Br 0.8750 0.9026 0.7500  2 Ta 2.81, 2 In 2.91, 2 Br 3.04
7 Ta 0.0000 0.0000 0.0000  4 Br 2.81
8 Ta 0.7500 0.2500 0.5000  4 Br 2.81

Values from the calculation:
E_tot, eV/atom: -4.027
Crystal system: tetragonal
Formation energy from raw total energies, eV per atom: 0.46
Total moment, μB per atom: 0.00
Offset from the most stable computed form, meV per atom: 707.6



# 7
Here is an optimized crystal structure of Ca4SnPb5 from Alexandria via LeMat-Bulk. Energies are from GGA-PBE.

Lattice parameters (Å, degrees): 5.5908 6.7664 8.7265 103.51 108.68 90.00
Last column: nearest neighbours and their distance in Å.
Fractional positions:
1 Ca 0.6951 0.2910 0.3903  7 Pb 3.31-3.45, 1 Sn 3.34
2 Ca 0.0914 0.8754 0.1828  6 Pb 3.32-3.55, 2 Sn 3.38
3 Ca 0.3049 0.7090 0.6097  7 Pb 3.31-3.45, 1 Sn 3.34
4 Ca 0.9086 0.1246 0.8172  6 Pb 3.32-3.55, 2 Sn 3.38
5 Sn 0.5000 0.0000 0.0000  6 Ca 3.34-3.38, 2 Pb 3.38
6 Pb 0.2963 0.2003 0.5926  7 Ca 3.36-3.55, 2 Pb 3.48-3.70
7 Pb 0.1059 0.3943 0.2118  6 Ca 3.31-3.46, 3 Pb 3.47-3.70
8 Pb 0.8941 0.6057 0.7882  6 Ca 3.31-3.46, 3 Pb 3.47-3.70
9 Pb 0.5000 0.5000 0.0000  2 Sn 3.38, 6 Pb 3.47-3.48
10 Pb 0.7037 0.7997 0.4074  7 Ca 3.36-3.55, 2 Pb 3.48-3.70

Values from the calculation:
E_tot, eV/atom: -3.466
Formation energy from the elements, meV per atom: -411
Crystal system: monoclinic
Total moment, μB per atom: 0.00



# 8
Here is an optimized crystal structure of HoHBr from Alexandria via LeMat-Bulk. Energies are from GGA-PBE.

Lattice parameters (Å, degrees): 6.7440 6.8822 5.5434 70.52 90.00 90.00
Last column: nearest neighbours and their distance in Å.
Fractional positions:
1 H 0.8917 0.5796 0.0721  3 Ho 2.12-2.20, 1 H 2.13
2 H 0.6083 0.0796 0.0721  3 Ho 2.12-2.20, 1 H 2.13
3 H 0.1083 0.4204 0.9279  3 Ho 2.12-2.20, 1 H 2.13
4 H 0.3917 0.9204 0.9279  3 Ho 2.12-2.20, 1 H 2.13
5 Ho 0.3563 0.2505 0.8728  3 H 2.12-2.20
6 Ho 0.8563 0.2495 0.1272  3 H 2.12-2.20
7 Ho 0.6437 0.7495 0.1272  3 H 2.12-2.20
8 Ho 0.1437 0.7505 0.8728  3 H 2.12-2.20
9 Br 0.2289 0.1383 0.4273  2 H 2.89-2.92, 4 Ho 2.95-3.03
10 Br 0.2711 0.6383 0.4273  2 H 2.89-2.92, 4 Ho 2.95-3.03
11 Br 0.7711 0.8617 0.5727  2 H 2.89-2.92, 4 Ho 2.95-3.03
12 Br 0.7289 0.3617 0.5727  2 H 2.89-2.92, 4 Ho 2.95-3.03

Values from the calculation:
E_tot, eV/atom: -4.156
Crystal system: monoclinic
Total moment, μB per atom: 0.00



# 9
Here is an optimized crystal structure of Mg4Zr5 from Alexandria via LeMat-Bulk. Energies are from GGA-PBE.

Lattice parameters (Å, degrees): 9.5172 9.5172 7.0901 47.84 47.84 90.00
Last column: nearest neighbours and their distance in Å.
Fractional positions:
1 Mg 0.0000 0.3358 0.0000  5 Mg 3.13-3.14, 7 Zr 3.18-3.20
2 Mg 0.0000 0.6642 0.0000  5 Mg 3.13-3.14, 7 Zr 3.18-3.20
3 Mg 0.3358 0.0000 0.0000  5 Mg 3.13-3.14, 7 Zr 3.18-3.20
4 Mg 0.6642 0.0000 0.0000  5 Mg 3.13-3.14, 7 Zr 3.18-3.20
5 Zr 0.0000 0.0000 0.0000  8 Zr 3.13, 4 Mg 3.20
6 Zr 0.3365 0.3365 0.0000  6 Zr 3.11-3.23, 6 Mg 3.18-3.20
7 Zr 0.3365 0.6635 0.0000  6 Zr 3.11-3.23, 6 Mg 3.18-3.20
8 Zr 0.6635 0.3365 0.0000  6 Zr 3.11-3.23, 6 Mg 3.18-3.20
9 Zr 0.6635 0.6635 0.0000  6 Zr 3.11-3.23, 6 Mg 3.18-3.20

Values from the calculation:
E_tot, eV/atom: -5.424
Formation energy from the elements, meV per atom: 33
Crystal system: tetragonal
Total moment, μB per atom: 0.00
Offset from the most stable computed form, meV per atom: 0.0



# 10
Here is an optimized crystal structure of CaLa3Rh8 from Alexandria via LeMat-Bulk. Energies are from GGA-PBE.

Lattice parameters (Å, degrees): 5.4183 5.4183 9.4341 73.31 73.31 60.00
Last column: nearest neighbours and their distance in Å.
Fractional positions:
1 Ca 0.8743 0.8743 0.3771  12 Rh 3.17-3.19, 4 La 3.30
2 La 0.3755 0.3755 0.8734  12 Rh 3.18-3.21, 4 La 3.34-3.38
3 La 0.9981 0.9981 0.0058  12 Rh 3.16-3.24, 1 Ca 3.30, 3 La 3.34
4 La 0.5021 0.5021 0.4938  12 Rh 3.14-3.21, 3 Ca 3.30, 1 La 3.38
5 Rh 0.9380 0.4368 0.1885  6 Rh 2.70-2.73
6 Rh 0.4375 0.9380 0.6866  6 Rh 2.71-2.73
7 Rh 0.4368 0.4368 0.1885  6 Rh 2.70-2.73
8 Rh 0.9380 0.9380 0.6866  6 Rh 2.71-2.73
9 Rh 0.1876 0.1876 0.4373  6 Rh 2.71
10 Rh 0.6875 0.6875 0.9375  6 Rh 2.73
11 Rh 0.4368 0.9380 0.1885  6 Rh 2.70-2.73
12 Rh 0.9380 0.4375 0.6866  6 Rh 2.71-2.73

Values from the calculation:
E_tot, eV/atom: -6.936
Formation energy from the elements, meV per atom: -636
Crystal system: trigonal
Total moment, μB per atom: 0.00



# 11
Here is an optimized crystal structure of TbDy2ReO8 from Alexandria via LeMat-Bulk. Energies are from GGA-PBE.

Lattice parameters (Å, degrees): 5.0512 5.0512 6.7633 90.00 90.00 90.54
Last column: nearest neighbours and their distance in Å.
Fractional positions:
1 Tb 0.0000 0.0000 0.5000  6 O 2.19-2.38
2 Dy 0.5000 0.5000 0.7484  6 O 2.16-2.37
3 Dy 0.5000 0.5000 0.2516  6 O 2.16-2.37
4 Re 0.0000 0.0000 0.0000  6 O 1.90-1.91
5 O 0.1813 0.8181 0.2064  1 Re 1.91
6 O 0.7323 0.7331 0.0000  1 Re 1.90
7 O 0.8187 0.1820 0.2064  1 Re 1.91
8 O 0.8187 0.1819 0.7936  1 Re 1.91
9 O 0.2677 0.2669 0.0000  1 Re 1.90
10 O 0.1813 0.8180 0.7936  1 Re 1.91
11 O 0.6915 0.6921 0.5000  2 Dy 2.16, 1 Tb 2.19
12 O 0.3085 0.3080 0.5000  2 Dy 2.16, 1 Tb 2.19

Values from the calculation:
E_tot, eV/atom: -8.286
Crystal system: orthorhombic
Formation energy from raw total energies, eV per atom: -2.79
Total moment, μB per atom: 0.00



# 12
Here is an optimized crystal structure of Tb2AlPt3 from Alexandria via LeMat-Bulk. Energies are from GGA-PBE.

Lattice parameters (Å, degrees): 5.2837 5.2837 5.2837 63.79 63.79 63.79
Last column: nearest neighbours and their distance in Å.
Fractional positions:
1 Tb 0.3743 0.3743 0.3743  9 Pt 3.07-3.21, 4 Tb 3.16-3.38, 3 Al 3.26
2 Tb 0.6257 0.6257 0.6257  9 Pt 3.07-3.21, 4 Tb 3.16-3.38, 3 Al 3.26
3 Al 0.0000 0.0000 0.0000  6 Pt 2.64
4 Pt 0.0000 0.0000 0.5000  2 Al 2.64, 4 Pt 2.79
5 Pt 0.5000 0.0000 0.0000  2 Al 2.64, 4 Pt 2.79
6 Pt 0.0000 0.5000 0.0000  2 Al 2.64, 4 Pt 2.79

Values from the calculation:
E_tot, eV/atom: -6.357
Formation energy from the elements, meV per atom: -1169
Crystal system: trigonal
Total moment, μB per atom: 0.00